Record 1
Ge3TeBr: relaxed, PBE.

Results
Total magnetization in μB/cell: 1.21
Polymorph energy (0 for the lowest one) in meV per atom: 0
Raw formation energy in eV per atom: 0.817

Cell lengths 5.588, 5.588, 5.588 Å; angles 90.00, 90.00, 90.00 degrees
Each line ends with the local moment (μB).
Sites, in units of the cell vectors:
Ge 0.000 0.500 0.000  0.14
Br 0.500 0.500 0.500  0.15
Ge 0.500 0.000 0.000  0.17
Ge 0.000 0.000 0.500  0.09
Te 0.000 0.000 0.000  0.00

***

Record 2
Ce2Se3S: relaxed, PBE.

Results
Total magnetization in μB/cell: 0.00
Raw formation energy in eV per atom: -1.563

Cell lengths 6.872, 7.165, 8.425 Å; angles 115.17, 114.07, 90.00 degrees
Sites, in units of the cell vectors:
Ce 0.594 0.368 0.736
S 0.000 0.500 0.000
Ce 0.406 0.632 0.264
Ce 0.858 0.132 0.264
Se 0.762 0.512 0.525
Se 0.762 0.012 0.525
Se 0.238 0.488 0.475
Se 0.500 0.750 0.000
Se 0.500 0.250 0.000
S 0.000 0.000 0.000
Ce 0.142 0.868 0.736
Se 0.238 0.988 0.475

***

Record 3
HClF: relaxed, PBE.

Results
Total magnetization in μB/cell: 0.00
Polymorph energy (0 for the lowest one) in meV per atom: 15

Cell lengths 2.314, 7.883, 6.072 Å; angles 89.99, 90.58, 90.25 degrees
Sites, in units of the cell vectors:
Cl 0.942 0.814 0.139
H 0.992 0.553 0.673
F 0.408 0.556 0.637
Cl 0.943 0.092 0.639
H 0.017 0.353 0.174
F 0.433 0.350 0.138

***

Record 4
Sc3AlN: relaxed, PBE.

Results
Total magnetization in μB/cell: 0.60
Raw formation energy in eV per atom: -0.161

Cell lengths 3.085, 7.935, 7.935 Å; angles 134.34, 90.00, 90.00 degrees
Each line ends with the local moment (μB).
Sites, in units of the cell vectors:
Sc 0.500 0.189 0.334  0.03
Sc 0.000 0.264 0.736  0.31
N 0.000 0.417 0.583  0.00
Sc 0.500 0.666 0.811  0.04
Al 0.500 0.091 0.909  -0.01

***

Record 5
SrPrNO: relaxed, PBE.

Results
Total magnetization in μB/cell: 0.00
Raw formation energy in eV per atom: -1.958

Cell lengths 3.694, 3.694, 6.435 Å; angles 73.32, 73.32, 60.00 degrees
Sites, in units of the cell vectors:
Pr 0.994 0.994 0.017
N 0.260 0.260 0.220
O 0.748 0.748 0.756
Sr 0.498 0.498 0.507

***

Record 6
PmCo4P3: relaxed, PBE.

Results
Total magnetization in μB/cell: 0.00
Energy of formation from the pure elements in eV per atom: -0.820

Cell lengths 3.705, 3.705, 7.986 Å; angles 90.00, 90.00, 90.00 degrees
Sites, in units of the cell vectors:
P 0.500 0.500 0.309
Co 0.500 0.000 0.162
Co 0.000 0.500 0.838
P 0.000 0.000 0.000
Pm 0.000 0.000 0.500
P 0.500 0.500 0.691
Co 0.500 0.000 0.838
Co 0.000 0.500 0.162

***

Record 7
CdPBr2: relaxed, PBE.

Results
Total magnetization in μB/cell: 0.00
Polymorph energy (0 for the lowest one) in meV per atom: 233
Raw formation energy in eV per atom: 0.012

Cell lengths 10.576, 10.576, 7.892 Å; angles 47.93, 47.93, 90.00 degrees
Sites, in units of the cell vectors:
Br 0.875 0.625 0.750
P 0.250 0.750 0.500
Br 0.375 0.125 0.250
P 0.500 0.500 0.000
Cd 0.000 0.000 0.000
Cd 0.750 0.250 0.500
Br 0.375 0.625 0.250
Br 0.375 0.625 0.750

***

Record 8
Li4Tl2Bi: relaxed, PBE.

Results
Total magnetization in μB/cell: 0.00
Polymorph energy (0 for the lowest one) in meV per atom: 0
Energy of formation from the pure elements in eV per atom: -0.266

Cell lengths 4.662, 5.909, 5.909 Å; angles 90.03, 90.00, 90.00 degrees
Sites, in units of the cell vectors:
Li 0.500 0.000 0.500
Li 0.000 0.704 0.704
Tl 0.000 0.193 0.807
Li 0.000 0.296 0.296
Li 0.500 0.500 0.000
Tl 0.000 0.807 0.193
Bi 0.500 0.500 0.500

***

Record 9
Tm2FeAgC: relaxed, PBE.

Results
Total magnetization in μB/cell: 0.00
Energy of formation from the pure elements in eV per atom: -0.355

Cell lengths 3.658, 4.917, 4.917 Å; angles 90.00, 90.00, 90.00 degrees
Sites, in units of the cell vectors:
Tm 0.000 0.500 0.000
Fe 0.500 0.000 0.000
Ag 0.500 0.500 0.500
Tm 0.000 0.000 0.500
C 0.000 0.000 0.000

***

Record 10
InFe4Cu: relaxed, PBE.

Results
Total magnetization in μB/cell: 9.55
Energy of formation from the pure elements in eV per atom: 0.225

Cell lengths 4.871, 4.871, 4.871 Å; angles 60.00, 60.00, 60.00 degrees
Each line ends with the local moment (μB).
Sites, in units of the cell vectors:
Fe 0.375 0.375 0.375  2.39
Fe 0.375 0.876 0.375  2.39
In 0.750 0.750 0.750  -0.09
Fe 0.375 0.375 0.876  2.39
Fe 0.876 0.375 0.375  2.39
Cu 0.000 0.000 0.000  0.10

***

Record 11
TbTm2Th3Bi6: relaxed, PBE.

Results
Total magnetization in μB/cell: 0.00
Energy of formation from the pure elements in eV per atom: -0.685

Cell lengths 4.532, 9.025, 10.117 Å; angles 102.71, 102.94, 90.00 degrees
Sites, in units of the cell vectors:
Bi 0.330 0.424 0.661
Tm 0.167 0.333 0.333
Bi 0.003 0.246 0.007
Th 0.166 0.833 0.331
Th 0.834 0.167 0.669
Tb 0.500 0.000 0.000
Th 0.500 0.500 0.000
Tm 0.833 0.667 0.667
Bi 0.670 0.576 0.339
Bi 0.665 0.092 0.331
Bi 0.335 0.908 0.669
Bi 0.997 0.754 0.993

***

Record 12
YAgBiRh: relaxed, PBE.

Results
Total magnetization in μB/cell: 0.00
Energy of formation from the pure elements in eV per atom: -0.388

Cell lengths 4.946, 4.946, 4.946 Å; angles 60.00, 60.00, 60.00 degrees
Sites, in units of the cell vectors:
Rh 0.250 0.250 0.250
Bi 0.500 0.500 0.500
Y 0.000 0.000 0.000
Ag 0.750 0.750 0.750

***

Record 13
Fe2HgAu: relaxed, PBE.

Results
Total magnetization in μB/cell: 5.64
Energy of formation from the pure elements in eV per atom: 0.324

Cell lengths 2.879, 3.833, 5.835 Å; angles 90.00, 90.00, 90.00 degrees
Each line ends with the local moment (μB).
Sites, in units of the cell vectors:
Fe 0.000 0.000 0.977  2.85
Au 0.500 0.500 0.750  0.03
Hg 0.500 0.500 0.250  -0.06
Fe 0.000 0.000 0.523  2.85

***

Record 14
Na2LiTiF6: relaxed, PBE.

Results
Total magnetization in μB/cell: 2.00
Polymorph energy (0 for the lowest one) in meV per atom: 0
Raw formation energy in eV per atom: -3.037

Cell lengths 5.441, 5.613, 7.840 Å; angles 90.00, 88.99, 90.00 degrees
Each line ends with the local moment (μB).
Sites, in units of the cell vectors:
F 0.689 0.287 0.556  0.00
F 0.311 0.713 0.444  0.00
Li 0.000 0.500 0.500  0.00
F 0.102 0.465 0.755  0.01
F 0.297 0.700 0.051  0.01
Na 0.984 0.056 0.745  0.00
F 0.703 0.300 0.949  0.01
F 0.398 0.965 0.745  0.01
Li 0.500 0.000 0.000  0.00
Na 0.516 0.556 0.755  0.00
F 0.189 0.213 0.056  0.00
F 0.797 0.800 0.551  0.01
Na 0.484 0.444 0.245  0.00
Na 0.016 0.944 0.255  0.00
F 0.898 0.535 0.245  0.01
Ti 0.500 0.000 0.500  0.91
Ti 0.000 0.500 0.000  0.91
F 0.203 0.200 0.449  0.01
F 0.602 0.035 0.255  0.01
F 0.811 0.787 0.944  0.00

***

Record 15
TeAs2Se6: relaxed, PBE.

Results
Total magnetization in μB/cell: 0.00
Raw formation energy in eV per atom: -0.001

Cell lengths 3.755, 7.843, 8.457 Å; angles 105.36, 102.83, 90.00 degrees
Sites, in units of the cell vectors:
Se 0.999 0.261 0.998
Se 0.677 0.100 0.353
As 0.171 0.340 0.342
As 0.829 0.660 0.658
Se 0.666 0.578 0.332
Se 0.001 0.739 0.002
Te 0.500 0.000 0.000
Se 0.323 0.900 0.647
Se 0.334 0.422 0.668

***

Record 16
HoPaH: relaxed, PBE.

Results
Total magnetization in μB/cell: 0.00
Final energy in eV/atom: -5.890

Cell lengths 3.341, 3.341, 5.883 Å; angles 90.00, 90.00, 120.00 degrees
Sites, in units of the cell vectors:
H 0.333 0.667 0.663
Pa 0.000 0.000 0.922
Ho 0.667 0.333 0.415

***

Record 17
Pr2Ge3Pt2: relaxed, PBE.

Results
Total magnetization in μB/cell: 0.00
Polymorph energy (0 for the lowest one) in meV per atom: 90
Energy of formation from the pure elements in eV per atom: -0.796

Cell lengths 4.401, 5.644, 6.801 Å; angles 105.97, 90.00, 112.95 degrees
Sites, in units of the cell vectors:
Pr 0.851 0.702 0.210
Ge 0.390 0.780 0.561
Pr 0.149 0.298 0.790
Pt 0.847 0.695 0.728
Ge 0.610 0.220 0.439
Ge 0.500 0.000 0.000
Pt 0.153 0.305 0.272

***

Record 18
TiCrH3: relaxed, PBE.

Results
Total magnetization in μB/cell: 3.02
Polymorph energy (0 for the lowest one) in meV per atom: 369

Cell lengths 3.500, 3.500, 3.500 Å; angles 90.00, 90.00, 90.00 degrees
Each line ends with the local moment (μB).
Sites, in units of the cell vectors:
H 0.000 0.000 0.500  0.01
H 0.000 0.500 0.000  0.00
Ti 0.000 0.000 0.000  -0.52
H 0.500 0.000 0.000  -0.02
Cr 0.500 0.500 0.500  3.41